The following is a GGA+U calculation of crystalline KNiSeO4 at its relaxed geometry, from Alexandria.

```
7
Lattice="5.9676 0.0000 0.0000 2.9838 5.1681 0.0000 2.9838 1.7227 4.8725" Properties=species:S:1:pos:R:3 pbc="T T T"
K 8.9513 5.1681 3.6544
Ni 5.9676 3.4454 2.4362
Se 2.9838 1.7227 1.2181
O 5.9676 3.4454 4.3264
O 4.4243 2.5544 1.8062
O 5.9676 5.2274 1.8062
O 7.5108 2.5544 1.8062
```

Computed properties:
- E_tot (eV per atom) = -4.557
- space-group type = F-43m (216)